Compound: Ce3DyEr2As6
Source: Alexandria via LeMat-Bulk
Functional: PBE
Structure: optimized geometry

abc: 7.204 12.477 7.186
angles: 90.00 109.53 90.00
Space group C2/m (No. 12)
One atom of each set of equivalent atoms:
Ce (0.000, 0.000, 0.000) x2
Ce (0.000, 0.334, 0.000) x4
Dy (0.000, 0.500, 0.500) x2
Er (0.000, 0.167, 0.500) x4
As (0.247, 0.000, 0.744) x4
As (0.249, 0.333, 0.744) x8

Output
As for the formation energy: -142.3 kJ/mol of atoms. The total magnetic moment comes out at 1.94 μB/f.u. The total energy is -154.24 eV per cell. The value obtained for the density of states at the Fermi level is 33.06 states/eV/cell.